## CaY2Rh (GGA-PBE)

Data for an optimized crystal structure of CaY2Rh.

Computed properties:
Formation energy: -0.18 eV per atom
N(E_F): 18.4 states/eV/cell
Relative energy among the computed polymorphs: 210 meV/atom

Unit cell a=8.6569 b=8.6569 c=6.4280 alpha=90.00 beta=90.00 gamma=90.00
Space group I-42d (No. 122)
Inequivalent atoms, fractional coordinates:
Ca1 0.0000 0.0000 0.0000 (multiplicity 4)
Y1 0.1642 0.2500 0.6250 (multiplicity 8)
Rh1 0.0000 0.0000 0.5000 (multiplicity 4)

## AgAs2Se (GGA-PBE)

Data for an optimized crystal structure of AgAs2Se.

Computed properties:
N(E_F): 10.1 states/eV/cell
Energy: -3.474 eV per atom

Unit cell a=2.9478 b=2.9478 c=32.9055 alpha=90.00 beta=90.00 gamma=120.00
Space group R-3m (No. 166, hexagonal axes)
Inequivalent atoms, fractional coordinates:
Ag1 0.0000 0.0000 0.0000 (multiplicity 3)
As1 0.0000 0.0000 0.2630 (multiplicity 6)
Se1 0.0000 0.0000 0.5000 (multiplicity 3)

## Mg2ZnPb (GGA-PBE)

Data for an optimized crystal structure of Mg2ZnPb.

Computed properties:
Formation energy: -0.03 eV per atom
N(E_F): 2.6 states/eV/cell

Unit cell a=5.6049 b=5.6493 c=6.2383 alpha=71.49 beta=89.69 gamma=77.12
Space group P-1 (No. 2)
Inequivalent atoms, fractional coordinates:
Mg1 0.1265 0.4255 0.2503 (multiplicity 2)
Mg2 0.2510 0.9811 0.8617 (multiplicity 2)
Zn1 0.3831 0.4415 0.8538 (multiplicity 2)
Pb1 0.2787 0.8386 0.4075 (multiplicity 2)

## LiCr4W (GGA-PBE)

Data for an optimized crystal structure of LiCr4W.

Computed properties:
Formation energy: 0.28 eV per atom
N(E_F): 37.5 states/eV/cell

Unit cell a=6.7476 b=6.7476 c=6.7476 alpha=90.00 beta=90.00 gamma=90.00
Space group F-43m (No. 216)
Inequivalent atoms, fractional coordinates:
Li1 0.0000 0.0000 0.0000 (multiplicity 4)
Cr1 0.1262 0.1262 0.3738 (multiplicity 16)
W1 0.2500 0.2500 0.7500 (multiplicity 4)

## SbAu5 (GGA-PBE)

Data for an optimized crystal structure of SbAu5.

Computed properties:
N(E_F): 1.2 states/eV/cell
Energy: -3.386 eV per atom

Unit cell a=3.6193 b=3.6193 c=8.9135 alpha=90.00 beta=90.00 gamma=90.00
Space group P4/mmm (No. 123)
Inequivalent atoms, fractional coordinates:
Sb1 0.0000 0.0000 0.0000 (multiplicity 1)
Au1 0.0000 0.0000 0.3380 (multiplicity 2)
Au2 0.5000 0.5000 0.1738 (multiplicity 2)
Au3 0.5000 0.5000 0.5000 (multiplicity 1)

## Ac4In12Hg (GGA-PBE)

Data for an optimized crystal structure of Ac4In12Hg.

Computed properties:
Formation energy: -0.38 eV per atom
N(E_F): 12.1 states/eV/cell

Unit cell a=9.9928 b=9.9928 c=9.9928 alpha=90.00 beta=90.00 gamma=90.00
Space group Im-3m (No. 229)
Inequivalent atoms, fractional coordinates:
Ac1 0.2500 0.2500 0.2500 (multiplicity 8)
In1 0.0000 0.0000 0.3029 (multiplicity 12)
In2 0.0000 0.2500 0.5000 (multiplicity 12)
Hg1 0.0000 0.0000 0.0000 (multiplicity 2)